1.
{
  "formula": "SmGaRh3",
  "functional": "PBE-GGA",
  "state": "optimized geometry",
  "lattice_angstrom": [[-2.7066, -3.5787, 1.6891], [4.5851, -4.6815, -2.5715], [0.8456, 2.4497, 6.5449]],
  "species": ["Rh", "Rh", "Rh", "Rh", "Rh", "Rh", "Ga", "Ga", "Sm", "Sm"],
  "fractional_positions": [[0.7500, 0.5252, 0.8326], [0.7500, 0.1674, 0.4748], [0.2500, 0.8326, 0.5252], [0.2500, 0.4748, 0.1674], [0.0000, 0.0000, 0.0000], [0.5000, 0.0000, 0.0000], [0.7500, 0.8094, 0.1906], [0.2500, 0.1906, 0.8094], [0.7500, 0.5758, 0.4242], [0.2500, 0.4242, 0.5758]],
  "n_ef_per_ev_atom": 1.111,
  "delta_e_f_ev_per_atom": 0.17,
  "e_tot_ha_per_atom": -0.21265,
  "space_group": "No. 63",
  "rho_g_cm3": 8.50
}



2.
{
  "formula": "AgGeSeBr2",
  "functional": "PBE-GGA",
  "state": "optimized geometry",
  "lattice_angstrom": [[-1.1731, -4.3846, -2.7205], [4.7209, 0.2143, -2.3810], [2.0076, -2.8479, 3.7242]],
  "species": ["Ge", "Br", "Br", "Ag", "Se"],
  "fractional_positions": [[0.0000, 0.0000, 0.0000], [0.5000, 0.0000, 0.0000], [0.0000, 0.5000, 0.0000], [0.5000, 0.5000, 0.5000], [0.0000, 0.0000, 0.5000]],
  "n_ef_per_ev_atom": 1.065,
  "e_above_lowest_polymorph_ev_per_atom": 0.0000,
  "e_tot_ha_per_atom": -0.10155,
  "formation_energy_uncorrected_ev_per_atom": 0.10,
  "space_group": "No. 123",
  "rho_g_cm3": 4.88
}



3.
{
  "formula": "AgAsPd6",
  "functional": "PBE-GGA",
  "state": "optimized geometry",
  "lattice_angstrom": [[4.1954, 0.0000, 1.1453], [1.8430, 4.4768, 1.5056], [0.3487, 0.6201, 6.9795]],
  "species": ["Pd", "Pd", "Pd", "Pd", "Pd", "Pd", "As", "Ag"],
  "fractional_positions": [[0.7521, 0.1393, 0.3564], [0.5182, 0.1904, 0.7732], [0.2209, 0.4401, 0.1181], [0.2479, 0.8607, 0.6436], [0.7791, 0.5599, 0.8819], [0.4818, 0.8096, 0.2268], [0.0000, 0.0000, 0.0000], [0.0000, 0.5000, 0.5000]],
  "n_ef_per_ev_atom": 0.697,
  "delta_e_f_ev_per_atom": -0.15,
  "e_tot_ha_per_atom": -0.18320,
  "space_group": "No. 12",
  "rho_g_cm3": 10.76
}



4.
{
  "formula": "PmSm3Ho7",
  "functional": "PBE-GGA",
  "state": "optimized geometry",
  "lattice_angstrom": [[-2.4218, 4.1406, 7.4769], [-8.4996, -3.0974, -4.2459], [2.1414, -5.0641, -0.5897]],
  "species": ["Ho", "Ho", "Ho", "Ho", "Ho", "Ho", "Ho", "Sm", "Sm", "Sm", "Pm"],
  "fractional_positions": [[0.3547, 0.7110, 0.8548], [0.9166, 0.8302, 0.9167], [0.0834, 0.1698, 0.0833], [0.6453, 0.2890, 0.1452], [0.1799, 0.3601, 0.6798], [0.8201, 0.6399, 0.3202], [0.5000, 0.0000, 0.5000], [0.2178, 0.0005, 0.7184], [0.0000, 0.5000, 0.0000], [0.7822, 0.9995, 0.2816], [0.5000, 0.5000, 0.5000]],
  "n_ef_per_ev_atom": 1.571,
  "delta_e_f_ev_per_atom": 0.15,
  "e_above_lowest_polymorph_ev_per_atom": 0.0000,
  "e_tot_ha_per_atom": -0.16482,
  "space_group": "No. 10",
  "rho_g_cm3": 8.06
}



5.
{
  "formula": "Ba3Os",
  "functional": "PBE-GGA",
  "state": "optimized geometry",
  "lattice_angstrom": [[-4.9932, 1.3050, -0.5517], [-1.0692, -4.7968, -1.6693], [-0.9296, -1.4922, 4.8835]],
  "species": ["Os", "Ba", "Ba", "Ba"],
  "fractional_positions": [[0.0000, 0.0000, 0.0000], [0.5000, 0.0000, 0.5000], [0.5000, 0.5000, 0.0000], [0.0000, 0.5000, 0.5000]],
  "n_ef_per_ev_atom": 0.812,
  "delta_e_f_ev_per_atom": 0.82,
  "e_tot_ha_per_atom": -0.12599,
  "space_group": "No. 221",
  "rho_g_cm3": 7.15
}



6.
{
  "formula": "LiGaPb2",
  "functional": "PBE-GGA",
  "state": "optimized geometry",
  "lattice_angstrom": [[-3.7774, -1.4900, -6.9908], [4.2834, -6.8018, -0.8647], [-2.0372, -5.7900, -2.3399]],
  "species": ["Pb", "Pb", "Pb", "Pb", "Li", "Li", "Ga", "Ga"],
  "fractional_positions": [[0.6413, 0.1250, 0.2500], [0.1087, 0.6250, 0.2500], [0.3750, 0.3587, 0.7500], [0.8750, 0.8913, 0.7500], [0.5000, 0.5000, 0.0000], [0.2500, 0.7500, 0.5000], [0.7500, 0.2500, 0.5000], [0.0000, 0.0000, 0.0000]],
  "n_ef_per_ev_atom": 0.621,
  "delta_e_f_ev_per_atom": 0.07,
  "e_tot_ha_per_atom": -0.11111,
  "space_group": "No. 122",
  "rho_g_cm3": 7.71
}



7.
{
  "formula": "BaCaSeBr2",
  "functional": "PBE-GGA",
  "state": "optimized geometry",
  "lattice_angstrom": [[-2.9599, -1.5340, 4.9781], [4.7655, -3.1095, 1.8753], [2.2240, 5.1660, 2.9143]],
  "species": ["Se", "Ca", "Br", "Br", "Ba"],
  "fractional_positions": [[0.0000, 0.0000, 0.5000], [0.5000, 0.5000, 0.5000], [0.0000, 0.5000, 0.0000], [0.5000, 0.0000, 0.0000], [0.0000, 0.0000, 0.0000]],
  "n_ef_per_ev_atom": 0.233,
  "e_above_lowest_polymorph_ev_per_atom": 0.6426,
  "e_tot_ha_per_atom": -0.12319,
  "formation_energy_uncorrected_ev_per_atom": -1.20,
  "space_group": "No. 123",
  "rho_g_cm3": 3.04
}



8.
{
  "formula": "HoZrCd14",
  "functional": "PBE-GGA",
  "state": "optimized geometry",
  "lattice_angstrom": [[-0.4598, -5.6921, -3.1132], [5.6470, -1.8882, 2.6171], [-4.1668, -3.2846, 6.6211]],
  "species": ["Cd", "Cd", "Cd", "Cd", "Cd", "Cd", "Cd", "Cd", "Cd", "Cd", "Cd", "Cd", "Cd", "Cd", "Zr", "Ho"],
  "fractional_positions": [[0.6204, 0.1297, 0.7529], [0.1297, 0.1297, 0.2472], [0.8750, 0.8750, 0.0000], [0.1297, 0.6204, 0.7529], [0.1297, 0.1297, 0.7528], [0.3750, 0.3750, 0.0000], [0.1297, 0.6204, 0.2471], [0.6204, 0.1297, 0.2471], [0.6203, 0.6203, 0.2472], [0.8750, 0.3750, 0.5000], [0.3750, 0.8750, 0.5000], [0.3750, 0.8750, 0.0000], [0.6203, 0.6203, 0.7528], [0.8750, 0.3750, 0.0000], [0.3750, 0.3750, 0.5000], [0.8750, 0.8750, 0.5000]],
  "n_ef_per_ev_atom": 0.512,
  "delta_e_f_ev_per_atom": -0.08,
  "e_tot_ha_per_atom": -0.06239,
  "space_group": "No. 123",
  "rho_g_cm3": 8.47
}